Record 1
# Mo2PIr (PBE, relaxed)
# ΔE_f = -0.069 eV/atom
# calculated volume = 14.59 Å³/atom
# raw total energy = -36.21 eV/f.u.
data_Mo2PIr
_symmetry_space_group_name_H-M 'P m m m'
_symmetry_Int_Tables_number 47
_cell_length_a 2.868
_cell_length_b 3.998
_cell_length_c 5.089
_cell_angle_alpha 90.00
_cell_angle_beta 90.00
_cell_angle_gamma 90.00
loop_
_symmetry_equiv_pos_as_xyz
'x,y,z'
'-x,-y,-z'
'-x,-y,z'
'x,y,-z'
'x,-y,-z'
'-x,y,z'
'-x,y,-z'
'x,-y,z'
loop_
_atom_site_label
_atom_site_fract_x
_atom_site_fract_y
_atom_site_fract_z
Mo1 0.000 0.000 0.237
P1 0.500 0.500 0.000
Ir1 0.500 0.500 0.500

Record 2
# Mo2PIr (PBE, relaxed)
# ΔE_f = -0.163 eV/atom
# calculated volume = 14.49 Å³/atom
# raw total energy = -36.59 eV/f.u.
data_Mo2PIr
_symmetry_space_group_name_H-M 'I m m m'
_symmetry_Int_Tables_number 71
_symmetry_space_group_name_Hall '-I 2 2'
_cell_length_a 2.974
_cell_length_b 4.468
_cell_length_c 8.721
_cell_angle_alpha 90.00
_cell_angle_beta 90.00
_cell_angle_gamma 90.00
loop_
_atom_site_label
_atom_site_fract_x
_atom_site_fract_y
_atom_site_fract_z
Mo1 0.000 0.000 0.222
P1 0.000 0.500 0.500
Ir1 0.000 0.500 0.000

Record 3
# MoP2Ir (PBE, relaxed)
# energy above the most stable polymorph in this dataset = 846.4 meV/atom
# ΔE_f = 0.452 eV/atom
# calculated volume = 14.67 Å³/atom
# raw total energy = -28.70 eV/f.u.
data_MoP2Ir
_symmetry_space_group_name_H-M 'F -4 3 m'
_symmetry_Int_Tables_number 216
_symmetry_space_group_name_Hall 'F -4 2 3'
_cell_length_a 6.169
_cell_length_b 6.169
_cell_length_c 6.169
_cell_angle_alpha 90.00
_cell_angle_beta 90.00
_cell_angle_gamma 90.00
loop_
_atom_site_label
_atom_site_fract_x
_atom_site_fract_y
_atom_site_fract_z
Mo1 0.000 0.000 0.000
P1 0.000 0.000 0.500
P2 0.250 0.250 0.250
Ir1 0.250 0.250 0.750

Record 4
# MoP2Ir (PBE, relaxed)
# energy above the most stable polymorph in this dataset = 303.1 meV/atom
# ΔE_f = -0.091 eV/atom
# calculated volume = 14.52 Å³/atom
# raw total energy = -30.88 eV/f.u.
data_MoP2Ir
_symmetry_space_group_name_H-M 'P m m m'
_symmetry_Int_Tables_number 47
_cell_length_a 3.011
_cell_length_b 3.592
_cell_length_c 5.370
_cell_angle_alpha 90.00
_cell_angle_beta 90.00
_cell_angle_gamma 90.00
loop_
_symmetry_equiv_pos_as_xyz
'x,y,z'
'-x,-y,-z'
'-x,-y,z'
'x,y,-z'
'x,-y,-z'
'-x,y,z'
'-x,y,-z'
'x,-y,z'
loop_
_atom_site_label
_atom_site_fract_x
_atom_site_fract_y
_atom_site_fract_z
Mo1 0.000 0.000 0.000
P1 0.500 0.500 0.219
Ir1 0.500 0.000 0.500

Record 5
# Mo2PIr (PBE, relaxed)
# ΔE_f = -0.061 eV/atom
# calculated volume = 14.66 Å³/atom
# raw total energy = -36.18 eV/f.u.
data_Mo2PIr
_symmetry_space_group_name_H-M 'R -3 m'
_symmetry_Int_Tables_number 166
_symmetry_space_group_name_Hall '-R 3 2"'
_cell_length_a 2.8538
_cell_length_b 2.8538
_cell_length_c 24.9468
_cell_angle_alpha 90.00
_cell_angle_beta 90.00
_cell_angle_gamma 120.00
loop_
_atom_site_label
_atom_site_fract_x
_atom_site_fract_y
_atom_site_fract_z
Mo1 0.0000 0.0000 0.2442
P1 0.0000 0.0000 0.5000
Ir1 0.0000 0.0000 0.0000

Record 6
# MoP2Ir (PBE, relaxed)
# energy above the most stable polymorph in this dataset = 305.5 meV/atom
# ΔE_f = -0.089 eV/atom
# calculated volume = 14.04 Å³/atom
# raw total energy = -30.87 eV/f.u.
data_MoP2Ir
_symmetry_space_group_name_H-M 'R -3 m'
_symmetry_Int_Tables_number 166
_symmetry_space_group_name_Hall '-R 3 2"'
_cell_length_a 2.9378
_cell_length_b 2.9378
_cell_length_c 22.5439
_cell_angle_alpha 90.00
_cell_angle_beta 90.00
_cell_angle_gamma 120.00
loop_
_atom_site_label
_atom_site_fract_x
_atom_site_fract_y
_atom_site_fract_z
Mo1 0.0000 0.0000 0.0000
P1 0.0000 0.0000 0.2509
Ir1 0.0000 0.0000 0.5000

Record 7
# MoP2Ir (PBE, relaxed)
# energy above the most stable polymorph in this dataset = 318.9 meV/atom
# ΔE_f = -0.076 eV/atom
# calculated volume = 14.29 Å³/atom
# raw total energy = -30.81 eV/f.u.
data_MoP2Ir
_symmetry_space_group_name_H-M 'I m m 2'
_symmetry_Int_Tables_number 44
_cell_length_a 2.996
_cell_length_b 4.066
_cell_length_c 9.382
_cell_angle_alpha 90.00
_cell_angle_beta 90.00
_cell_angle_gamma 90.00
loop_
_symmetry_equiv_pos_as_xyz
'x,y,z'
'-x,-y,z'
'-x,y,z'
'x,-y,z'
'x+1/2,y+1/2,z+1/2'
'-x+1/2,-y+1/2,z+1/2'
'-x+1/2,y+1/2,z+1/2'
'x+1/2,-y+1/2,z+1/2'
loop_
_atom_site_label
_atom_site_fract_x
_atom_site_fract_y
_atom_site_fract_z
Mo1 0.000 0.000 0.000
P1 0.000 0.000 0.506
P2 0.000 0.500 0.725
Ir1 0.000 0.500 0.220

Record 8
# Mo4PIr (PBE, relaxed)
# ΔE_f = 0.609 eV/atom
# calculated volume = 16.12 Å³/atom
# raw total energy = -53.94 eV/f.u.
data_Mo4PIr
_symmetry_space_group_name_H-M 'F -4 3 m'
_symmetry_Int_Tables_number 216
_symmetry_space_group_name_Hall 'F -4 2 3'
_cell_length_a 7.287
_cell_length_b 7.287
_cell_length_c 7.287
_cell_angle_alpha 90.00
_cell_angle_beta 90.00
_cell_angle_gamma 90.00
loop_
_atom_site_label
_atom_site_fract_x
_atom_site_fract_y
_atom_site_fract_z
Mo1 0.124 0.124 0.124
P1 0.250 0.250 0.750
Ir1 0.000 0.000 0.500

Record 9
# Mo2PIr (PBE, relaxed)
# ΔE_f = 0.038 eV/atom
# calculated volume = 14.77 Å³/atom
# raw total energy = -35.78 eV/f.u.
data_Mo2PIr
_symmetry_space_group_name_H-M 'R 3 m'
_symmetry_Int_Tables_number 160
_symmetry_space_group_name_Hall 'R 3 -2"'
_cell_length_a 2.8645
_cell_length_b 2.8645
_cell_length_c 24.9401
_cell_angle_alpha 90.00
_cell_angle_beta 90.00
_cell_angle_gamma 120.00
loop_
_atom_site_label
_atom_site_fract_x
_atom_site_fract_y
_atom_site_fract_z
Mo1 0.0000 0.0000 0.0000
Mo2 0.0000 0.0000 0.2403
P1 0.0000 0.0000 0.4992
Ir1 0.0000 0.0000 0.7553

Record 10
# Mo2PIr (PBE, relaxed)
# ΔE_f = 0.100 eV/atom
# calculated volume = 14.67 Å³/atom
# raw total energy = -35.54 eV/f.u.
data_Mo2PIr
_symmetry_space_group_name_H-M 'P 4/m m m'
_symmetry_Int_Tables_number 123
_symmetry_space_group_name_Hall '-P 4 2'
_cell_length_a 3.646
_cell_length_b 3.646
_cell_length_c 4.414
_cell_angle_alpha 90.00
_cell_angle_beta 90.00
_cell_angle_gamma 90.00
loop_
_atom_site_label
_atom_site_fract_x
_atom_site_fract_y
_atom_site_fract_z
Mo1 0.000 0.500 0.000
P1 0.000 0.000 0.500
Ir1 0.500 0.500 0.500

Record 11
# Mo2PIr (PBE, relaxed)
# ΔE_f = -0.360 eV/atom
# calculated volume = 14.24 Å³/atom
# raw total energy = -37.37 eV/f.u.
data_Mo2PIr
_symmetry_space_group_name_H-M 'P 4/m m m'
_symmetry_Int_Tables_number 123
_symmetry_space_group_name_Hall '-P 4 2'
_cell_length_a 2.901
_cell_length_b 2.901
_cell_length_c 6.768
_cell_angle_alpha 90.00
_cell_angle_beta 90.00
_cell_angle_gamma 90.00
loop_
_atom_site_label
_atom_site_fract_x
_atom_site_fract_y
_atom_site_fract_z
Mo1 0.000 0.000 0.221
P1 0.500 0.500 0.000
Ir1 0.500 0.500 0.500

Record 12
# MoPIr4 (PBE, relaxed)
# ΔE_f = 0.670 eV/atom
# calculated volume = 16.11 Å³/atom
# raw total energy = -47.67 eV/f.u.
data_MoPIr4
_symmetry_space_group_name_H-M 'F -4 3 m'
_symmetry_Int_Tables_number 216
_symmetry_space_group_name_Hall 'F -4 2 3'
_cell_length_a 7.286
_cell_length_b 7.286
_cell_length_c 7.286
_cell_angle_alpha 90.00
_cell_angle_beta 90.00
_cell_angle_gamma 90.00
loop_
_atom_site_label
_atom_site_fract_x
_atom_site_fract_y
_atom_site_fract_z
Mo1 0.000 0.000 0.000
P1 0.250 0.250 0.750
Ir1 0.125 0.125 0.375

Record 13
# MoPIr (PBE, relaxed)
# ΔE_f = -0.192 eV/atom
# calculated volume = 15.25 Å³/atom
# raw total energy = -25.68 eV/f.u.
data_MoPIr
_symmetry_space_group_name_H-M 'F -4 3 m'
_symmetry_Int_Tables_number 216
_symmetry_space_group_name_Hall 'F -4 2 3'
_cell_length_a 5.677
_cell_length_b 5.677
_cell_length_c 5.677
_cell_angle_alpha 90.00
_cell_angle_beta 90.00
_cell_angle_gamma 90.00
loop_
_atom_site_label
_atom_site_fract_x
_atom_site_fract_y
_atom_site_fract_z
Mo1 0.000 0.000 0.000
P1 0.250 0.250 0.250
Ir1 0.000 0.000 0.500

Record 14
# MoP2Ir (PBE, relaxed)
# energy above the most stable polymorph in this dataset = 311.7 meV/atom
# ΔE_f = -0.083 eV/atom
# calculated volume = 14.55 Å³/atom
# raw total energy = -30.84 eV/f.u.
data_MoP2Ir
_symmetry_space_group_name_H-M 'R 3 m'
_symmetry_Int_Tables_number 160
_symmetry_space_group_name_Hall 'R 3 -2"'
_cell_length_a 3.0068
_cell_length_b 3.0068
_cell_length_c 22.2937
_cell_angle_alpha 90.00
_cell_angle_beta 90.00
_cell_angle_gamma 120.00
loop_
_atom_site_label
_atom_site_fract_x
_atom_site_fract_y
_atom_site_fract_z
Mo1 0.0000 0.0000 0.0000
P1 0.0000 0.0000 0.4902
P2 0.0000 0.0000 0.7424
Ir1 0.0000 0.0000 0.2296

Record 15
# MoP2Ir (PBE, relaxed)
# energy above the most stable polymorph in this dataset = 611.6 meV/atom
# ΔE_f = 0.217 eV/atom
# calculated volume = 14.55 Å³/atom
# raw total energy = -29.64 eV/f.u.
data_MoP2Ir
_symmetry_space_group_name_H-M 'C m m m'
_symmetry_Int_Tables_number 65
_symmetry_space_group_name_Hall '-C 2 2'
_cell_length_a 3.201
_cell_length_b 4.908
_cell_length_c 7.408
_cell_angle_alpha 90.00
_cell_angle_beta 90.00
_cell_angle_gamma 90.00
loop_
_atom_site_label
_atom_site_fract_x
_atom_site_fract_y
_atom_site_fract_z
Mo1 0.000 0.000 0.000
P1 0.000 0.500 0.252
Ir1 0.000 0.000 0.500